Model A:
Here is a relaxed LiTlFeCo2 crystal from Alexandria. Energies are from GGA-PBE.

## Properties
**Crystal system**: tetragonal

a b c (Å): 4.225 4.225 4.471
angles (deg): 90.00 90.00 90.00
Space group P4/mmm (No. 123)
One atom of each set of equivalent atoms:
Li 0.000 0.000 0.000
Tl 0.500 0.500 0.000
Fe 0.000 0.000 0.500
Co 0.000 0.500 0.500

=====

Model B:
Here is a relaxed LiTlFeCo2 crystal from Alexandria. Energies are from GGA-PBE.

## Properties
**Crystal system**: tetragonal

a b c (Å): 4.880 4.880 4.952
angles (deg): 90.00 90.00 90.00
Space group P4/mmm (No. 123)
One atom of each set of equivalent atoms:
Li 0.000 0.000 0.000
Tl 0.500 0.500 0.500
Fe 0.500 0.500 0.000
Co 0.000 0.500 0.500

=====

Which structure is the least stable? The one labeled model B.

=====

Model A:
Here is a relaxed Mg14FeCo crystal from Alexandria. Energies are from GGA-PBE.

## Properties
**Crystal system**: hexagonal

a b c (Å): 6.1805 6.1805 9.8006
angles (deg): 90.00 90.00 120.00
Space group P-6m2 (No. 187)
One atom of each set of equivalent atoms:
Mg 0.0000 0.0000 0.2484
Mg 0.0174 0.5087 0.2530
Mg 0.3325 0.1663 0.5000
Mg 0.3352 0.1676 0.0000
Fe 0.3333 0.6667 0.0000
Co 0.3333 0.6667 0.5000

=====

Model B:
Here is a relaxed Mg14FeCo crystal from Alexandria. Energies are from GGA-PBE.

## Properties
**Crystal system**: orthorhombic

a b c (Å): 9.882 6.193 10.716
angles (deg): 90.00 90.00 90.00
Space group Amm2 (No. 38)
One atom of each set of equivalent atoms:
Mg 0.000 0.000 0.000
Mg 0.000 0.000 0.500
Mg 0.000 0.249 0.246
Mg 0.253 0.000 0.834
Mg 0.257 0.000 0.334
Mg 0.281 0.248 0.574
Mg 0.500 0.250 0.263
Fe 0.500 0.000 0.991
Co 0.500 0.000 0.490

=====

Which structure is the least stable? The one labeled model A.

=====

Model A:
Here is a relaxed Mg6FeCo crystal from Alexandria. Energies are from GGA-PBE.

## Properties
**Crystal system**: orthorhombic

a b c (Å): 4.665 5.915 10.716
angles (deg): 90.00 90.00 90.00
Space group Amm2 (No. 38)
One atom of each set of equivalent atoms:
Mg 0.000 0.000 0.000
Mg 0.000 0.238 0.254
Mg 0.500 0.000 0.837
Mg 0.500 0.238 0.581
Fe 0.000 0.000 0.477
Co 0.500 0.000 0.362

=====

Model B:
Here is a relaxed Mg6FeCo crystal from Alexandria. Energies are from GGA-PBE.

## Properties
**Crystal system**: orthorhombic

a b c (Å): 4.715 5.836 10.518
angles (deg): 90.00 90.00 90.00
Space group Amm2 (No. 38)
One atom of each set of equivalent atoms:
Mg 0.000 0.000 0.000
Mg 0.000 0.000 0.497
Mg 0.000 0.248 0.266
Mg 0.500 0.250 0.101
Fe 0.500 0.000 0.852
Co 0.500 0.000 0.351

=====

Which structure is the least stable? The one labeled model B.